[1]
# SiRu2Br, relaxed, DFT PBE
data_SiRu2Br
_cell_length_a 6.1749
_cell_length_b 6.1749
_cell_length_c 6.1749
_cell_angle_alpha 90.00
_cell_angle_beta 90.00
_cell_angle_gamma 90.00
_space_group_name_H-M_alt 'F m -3 m'
_space_group_IT_number 225
_space_group_name_Hall '-F 4 2 3'
loop_
_atom_site_label
_atom_site_type_symbol
_atom_site_fract_x
_atom_site_fract_y
_atom_site_fract_z
Si1 Si 0.0000 0.0000 0.0000
Ru1 Ru 0.2500 0.2500 0.2500
Br1 Br 0.0000 0.0000 0.5000
# Polymorph energy (0 for the lowest one) in eV per formula unit: 1.75
# Uncorrected formation energy in eV per atom: 0.504

[2]
# Pr4CdCu, relaxed, DFT PBE
data_Pr4CdCu
_cell_length_a 3.7224
_cell_length_b 3.7224
_cell_length_c 12.9786
_cell_angle_alpha 90.00
_cell_angle_beta 90.00
_cell_angle_gamma 90.00
_space_group_name_H-M_alt 'P 4/m m m'
_space_group_IT_number 123
_space_group_name_Hall '-P 4 2'
loop_
_atom_site_label
_atom_site_type_symbol
_atom_site_fract_x
_atom_site_fract_y
_atom_site_fract_z
Pr1 Pr 0.0000 0.0000 0.1322
Pr2 Pr 0.5000 0.5000 0.3392
Cd1 Cd 0.0000 0.0000 0.5000
Cu1 Cu 0.5000 0.5000 0.0000
# Polymorph energy (0 for the lowest one) in eV per formula unit: 0.00

[3]
# TmHfSi2, relaxed, DFT PBE
data_TmHfSi2
_cell_length_a 3.7428
_cell_length_b 5.4325
_cell_length_c 7.3714
_cell_angle_alpha 90.00
_cell_angle_beta 90.00
_cell_angle_gamma 90.00
_space_group_name_H-M_alt 'P m c 21'
_space_group_IT_number 26
_space_group_name_Hall 'P 2c -2'
loop_
_atom_site_label
_atom_site_type_symbol
_atom_site_fract_x
_atom_site_fract_y
_atom_site_fract_z
Tm1 Tm 0.0000 0.1286 0.0000
Hf1 Hf 0.5000 0.3725 0.6419
Si1 Si 0.0000 0.3910 0.3631
Si2 Si 0.5000 0.1211 0.2831
# Polymorph energy (0 for the lowest one) in eV per formula unit: 0.00
# Uncorrected formation energy in eV per atom: -0.772

[4]
# MgReTe2N, relaxed, DFT PBE
data_MgReTe2N
_cell_length_a 5.4368
_cell_length_b 5.4368
_cell_length_c 3.7449
_cell_angle_alpha 90.00
_cell_angle_beta 90.00
_cell_angle_gamma 90.00
_space_group_name_H-M_alt 'P 4/m m m'
_space_group_IT_number 123
_space_group_name_Hall '-P 4 2'
loop_
_atom_site_label
_atom_site_type_symbol
_atom_site_fract_x
_atom_site_fract_y
_atom_site_fract_z
Mg1 Mg 0.0000 0.0000 0.0000
Re1 Re 0.5000 0.5000 0.5000
Te1 Te 0.0000 0.5000 0.0000
N1 N 0.0000 0.0000 0.5000
# Polymorph energy (0 for the lowest one) in eV per formula unit: 6.46
# Uncorrected formation energy in eV per atom: 1.431

[5]
# RbNp2Br7, relaxed, DFT PBE
data_RbNp2Br7
_cell_length_a 9.1940
_cell_length_b 14.8680
_cell_length_c 5.7441
_cell_angle_alpha 90.00
_cell_angle_beta 90.00
_cell_angle_gamma 90.00
_space_group_name_H-M_alt 'C m m m'
_space_group_IT_number 65
_space_group_name_Hall '-C 2 2'
loop_
_atom_site_label
_atom_site_type_symbol
_atom_site_fract_x
_atom_site_fract_y
_atom_site_fract_z
Rb1 Rb 0.0000 0.0000 0.0000
Np1 Np 0.0000 0.3040 0.5000
Br1 Br 0.0000 0.2945 0.0000
Br2 Br 0.0000 0.5000 0.5000
Br3 Br 0.1869 0.1390 0.5000
# Uncorrected formation energy in eV per atom: -1.379

[6]
# AgBiMo2Pd, relaxed, DFT PBE
data_AgBiMo2Pd
_cell_length_a 4.8429
_cell_length_b 4.8429
_cell_length_c 5.0273
_cell_angle_alpha 90.00
_cell_angle_beta 90.00
_cell_angle_gamma 90.00
_space_group_name_H-M_alt 'P 4/m m m'
_space_group_IT_number 123
_space_group_name_Hall '-P 4 2'
loop_
_atom_site_label
_atom_site_type_symbol
_atom_site_fract_x
_atom_site_fract_y
_atom_site_fract_z
Ag1 Ag 0.0000 0.0000 0.0000
Bi1 Bi 0.5000 0.5000 0.0000
Mo1 Mo 0.0000 0.5000 0.5000
Pd1 Pd 0.0000 0.0000 0.5000
# Calculated total energy in eV per atom: -5.323